Here is a geometry-optimized CsKHgO2 structure from Alexandria via LeMat-Bulk. Energies are from GGA-PBE.

abc: 7.496 14.422 5.855
angles: 90.00 90.00 90.00
Space group Cmme (No. 67)
Inequivalent atoms, fractional coordinates:
Cs 0.000 0.250 0.088
K 0.250 0.000 0.500
Hg 0.000 0.000 0.000
O 0.000 0.098 0.758

## Properties
density of states at the Fermi level: 0.000 states/eV/atom
formation energy (no corrections): -0.91 eV per atom
calculated volume: 158 Å³/f.u.
uncorrected energy: -3.348 eV/atom